Entry from Alexandria: a geometry-optimized K2TcWI structure (PBE).

## Properties
calculated total energy: -3.585 eV/atom
calculated volume: 44.3 Å³/atom

a = 6.5587 Å, b = 6.5587 Å, c = 5.1528 Å
α = 90.00°, β = 90.00°, γ = 90.00°
Closest atoms and distances in Å follow each position.
Fractional coordinates of all 5 atoms:
K 0.0000 0.5000 0.0000  2 I 3.28
K 0.5000 0.0000 0.0000  2 I 3.28
Tc 0.0000 0.0000 0.5000  2 I 2.58
W 0.5000 0.5000 0.5000  8 K 4.17, 4 Tc 4.64
I 0.0000 0.0000 0.0000  2 Tc 2.58


Entry from Alexandria: a geometry-optimized KTeI3 structure (PBE).

## Properties
calculated total energy: -2.360 eV/atom
calculated volume: 47.5 Å³/atom
distance to the lowest polymorph of the same formula: 30 meV per atom

a = 6.1943 Å, b = 6.1943 Å, c = 6.1943 Å
α = 90.00°, β = 90.00°, γ = 90.00°
Closest atoms and distances in Å follow each position.
Fractional coordinates of all 5 atoms:
K 0.0000 0.0000 0.0000  12 I 4.38
Te 0.5000 0.5000 0.5000  6 I 3.10
I 0.0000 0.5000 0.5000  2 Te 3.10
I 0.5000 0.0000 0.5000  2 Te 3.10
I 0.5000 0.5000 0.0000  2 Te 3.10


Entry from Alexandria: a geometry-optimized K2TeI structure (PBE).

## Properties
calculated total energy: -2.621 eV/atom
calculated volume: 39.6 Å³/atom
distance to the lowest polymorph of the same formula: 189 meV per atom

a = 6.0734 Å, b = 6.0734 Å, c = 6.0734 Å
α = 60.00°, β = 60.00°, γ = 60.00°
Closest atoms and distances in Å follow each position.
Fractional coordinates of all 4 atoms:
K 0.2500 0.2500 0.2500  4 Te 3.72, 4 I 3.72
K 0.7500 0.7500 0.7500  4 Te 3.72, 4 I 3.72
Te 0.0000 0.0000 0.0000  8 K 3.72
I 0.5000 0.5000 0.5000  8 K 3.72


Entry from Alexandria: a geometry-optimized KTe2I2 structure (PBE).

## Properties
calculated total energy: -2.395 eV/atom
calculated volume: 42.4 Å³/atom
distance to the lowest polymorph of the same formula: 8 meV per atom

a = 9.2222 Å, b = 9.2222 Å, c = 4.9890 Å
α = 90.00°, β = 90.00°, γ = 90.00°
Closest atoms and distances in Å follow each position.
Fractional coordinates of all 10 atoms:
K 0.0000 0.0000 0.0000  4 Te 3.79, 8 I 4.12
K 0.5000 0.5000 0.0000  4 Te 3.79, 8 I 4.12
Te 0.1023 0.3977 0.0000  1 Te 2.67
Te 0.3977 0.8977 0.0000  1 Te 2.67
Te 0.6023 0.1023 0.0000  1 Te 2.67
Te 0.8977 0.6023 0.0000  1 Te 2.67
I 0.2269 0.7269 0.5000  2 Te 3.34
I 0.2731 0.2269 0.5000  2 Te 3.34
I 0.7269 0.7731 0.5000  2 Te 3.34
I 0.7731 0.2731 0.5000  2 Te 3.34


Entry from Alexandria: a geometry-optimized K6TeI4 structure (PBE).

## Properties
calculated total energy: -2.719 eV/atom
calculated volume: 49.3 Å³/atom

a = 10.2779 Å, b = 10.2779 Å, c = 10.2779 Å
α = 90.08°, β = 90.08°, γ = 90.08°
Closest atoms and distances in Å follow each position.
Fractional coordinates of all 22 atoms:
K 0.0472 0.9290 0.6930  1 Te 3.27, 2 I 3.59-3.61
K 0.0710 0.3070 0.9528  1 Te 3.27, 2 I 3.59-3.61
K 0.1930 0.4290 0.5472  1 Te 3.27, 2 I 3.59-3.61
K 0.3070 0.9528 0.0710  1 Te 3.27, 2 I 3.59-3.61
K 0.4290 0.5472 0.1930  1 Te 3.27, 2 I 3.59-3.61
K 0.4528 0.8070 0.5710  1 Te 3.27, 2 I 3.59-3.61
K 0.5472 0.1930 0.4290  1 Te 3.27, 2 I 3.59-3.61
K 0.5710 0.4528 0.8070  1 Te 3.27, 2 I 3.59-3.61
K 0.6930 0.0472 0.9290  1 Te 3.27, 2 I 3.59-3.61
K 0.8070 0.5710 0.4528  1 Te 3.27, 2 I 3.59-3.61
K 0.9290 0.6930 0.0472  1 Te 3.27, 2 I 3.59-3.61
K 0.9528 0.0710 0.3070  1 Te 3.27, 2 I 3.59-3.61
Te 0.0000 0.0000 0.0000  6 K 3.27
Te 0.5000 0.5000 0.5000  6 K 3.27
I 0.1016 0.7500 0.3984  4 K 3.59-3.76
I 0.2500 0.2500 0.2500  6 K 3.61
I 0.2500 0.6016 0.8984  4 K 3.59-3.76
I 0.3984 0.1016 0.7500  4 K 3.59-3.76
I 0.6016 0.8984 0.2500  4 K 3.59-3.76
I 0.7500 0.3984 0.1016  4 K 3.59-3.76
I 0.7500 0.7500 0.7500  6 K 3.61
I 0.8984 0.2500 0.6016  4 K 3.59-3.76


Entry from Alexandria: a geometry-optimized K2TeI2 structure (PBE).

## Properties
calculated total energy: -2.624 eV/atom
calculated volume: 46.6 Å³/atom

a = 6.9320 Å, b = 6.9320 Å, c = 6.9320 Å
α = 120.63°, β = 120.63°, γ = 88.90°
Closest atoms and distances in Å follow each position.
Fractional coordinates of all 5 atoms:
K 0.2500 0.7500 0.5000  4 I 3.48
K 0.7500 0.2500 0.5000  4 I 3.48
Te 0.0000 0.0000 0.0000  2 I 3.05
I 0.3081 0.3081 0.0000  1 Te 3.05
I 0.6919 0.6919 0.0000  1 Te 3.05


Entry from Alexandria: a geometry-optimized KTeI3 structure (PBE).

## Properties
calculated total energy: -2.390 eV/atom
calculated volume: 54.7 Å³/atom
distance to the lowest polymorph of the same formula: 0 meV per atom

a = 8.7273 Å, b = 8.7907 Å, c = 9.3180 Å
α = 94.27°, β = 114.54°, γ = 117.10°
Closest atoms and distances in Å follow each position.
Fractional coordinates of all 10 atoms:
K 0.0000 0.0000 0.0000  6 I 3.58-3.88, 1 Te 3.97
K 0.0540 0.4854 0.5739  5 I 3.55-3.94, 1 Te 3.77
Te 0.3219 0.1450 0.6518  4 I 2.88-3.13, 1 Te 3.04
Te 0.7524 0.2593 0.7736  3 I 2.88-3.10, 1 Te 3.04
I 0.0530 0.8207 0.3660  1 Te 2.88
I 0.1967 0.4504 0.9803  1 Te 2.99
I 0.3045 0.3576 0.4178  1 Te 2.98
I 0.3057 0.9217 0.8798  1 Te 3.00
I 0.6700 0.4987 0.9542  2 Te 3.10-3.13
I 0.7180 0.9859 0.5494  1 Te 2.88


Entry from Alexandria: a geometry-optimized KTeI3 structure (PBE).

## Properties
calculated total energy: -1.626 eV/atom
calculated volume: 57.3 Å³/atom
distance to the lowest polymorph of the same formula: 763 meV per atom

a = 6.5929 Å, b = 6.5929 Å, c = 6.5929 Å
α = 90.00°, β = 90.00°, γ = 90.00°
Closest atoms and distances in Å follow each position.
Fractional coordinates of all 5 atoms:
K 0.0000 0.0000 0.0000  6 I 3.30
Te 0.5000 0.5000 0.5000  12 I 4.66
I 0.0000 0.0000 0.5000  2 K 3.30
I 0.0000 0.5000 0.0000  2 K 3.30
I 0.5000 0.0000 0.0000  2 K 3.30